(1)
In12Sn3Pb | PBE | relaxed

Cell and atoms, written as POSCAR:
```
In12Sn3Pb
1.0
5.060 0.000 0.000
0.000 5.060 0.000
0.000 0.000 17.240
In Sn Pb
12 3 1
Cartesian
0.000 0.000 0.000
0.000 0.000 4.268
0.000 0.000 8.620
0.000 0.000 12.971
0.000 2.530 2.140
0.000 2.530 6.400
0.000 2.530 10.840
0.000 2.530 15.100
2.530 0.000 2.140
2.530 0.000 6.400
2.530 0.000 10.840
2.530 0.000 15.100
2.530 2.530 0.000
2.530 2.530 4.284
2.530 2.530 12.956
2.530 2.530 8.620
```

Output
The calculation puts the volume at 441.4 Å³ per cell. Its calculated density is 7.30 Mg/m³. Its total DFT energy (no corrections) is -48.3 eV/cell. The density of states at the Fermi level comes out at 5.7 states/eV/cell. As for the magnetic moment: 0.00 Bohr magnetons per cell.

***

(2)
Ac2BeIr3 | PBE | relaxed

Cell and atoms, written as POSCAR:
```
Ac2BeIr3
1.0
4.204 0.000 0.000
0.000 4.494 0.000
0.000 0.000 7.252
Ac Be Ir
2 1 3
Cartesian
0.000 0.000 0.000
2.102 0.000 3.566
0.000 2.247 4.832
0.000 2.247 2.554
2.102 2.247 1.140
2.102 2.247 5.837
```

Output
The calculation puts the volume at 137.0 Å³ per cell. Its calculated density is 12.60 Mg/m³. Its total DFT energy (no corrections) is -41.6 eV/cell. The density of states at the Fermi level comes out at 3.3 states/eV/cell. As for the magnetic moment: 0.00 Bohr magnetons per cell.

***

(3)
CdPt4Cl | PBE | relaxed

Cell and atoms, written as POSCAR:
```
CdPt4Cl
1.0
0.000 3.801 3.801
3.801 0.000 3.801
3.801 3.801 0.000
Cd Pt Cl
1 4 1
Cartesian
0.000 0.000 0.000
2.848 2.848 2.848
4.753 4.753 2.848
4.753 2.848 4.753
2.848 4.753 4.753
5.701 5.701 5.701
```

Output
The calculation puts the volume at 109.8 Å³ per cell. Its calculated density is 14.04 Mg/m³. Its total DFT energy (no corrections) is -25.7 eV/cell. The density of states at the Fermi level comes out at 7.9 states/eV/cell. As for the magnetic moment: 0.00 Bohr magnetons per cell.